BaMnPt2 | Alexandria via LeMat-Bulk | PBE | optimized geometry; ΔE_f = -0.28 eV per atom; symmetry = P4/mmm (123)
1.0
3.374 0.000 0.000
0.000 3.374 0.000
0.000 0.000 7.421
Ba Mn Pt
1 1 2
Cartesian
0.000 0.000 0.000
0.000 0.000 3.711
1.687 1.687 2.329
1.687 1.687 5.093

***

CaNbGeTeP | Alexandria via LeMat-Bulk | PBE | optimized geometry; formation energy (no corrections) = -0.51 eV/atom; symmetry = Pm (6); offset from the most stable computed form = 97.5 meV per atom
1.0
5.084 0.000 0.000
0.000 3.590 0.000
-1.569 0.000 6.690
Ca Nb Ge Te P
1 1 1 1 1
Cartesian
0.000 0.000 0.000
1.224 0.000 3.719
3.667 0.000 3.123
0.975 1.795 5.880
0.197 1.795 2.228

***

TlSeBr2Cl | Alexandria via LeMat-Bulk | PBE | optimized geometry; formation energy (no corrections) = 0.24 eV/atom; symmetry = P4/mmm (123); offset from the most stable computed form = 587.4 meV per atom
1.0
5.501 0.000 0.000
0.000 5.501 0.000
0.000 0.000 5.833
Tl Se Br Cl
1 1 2 1
Cartesian
0.000 0.000 0.000
0.000 0.000 2.916
0.000 2.751 0.000
2.751 0.000 0.000
2.751 2.751 2.916

***

BaMg3Bi3 | Alexandria via LeMat-Bulk | PBE | optimized geometry; ΔE_f = -0.26 eV per atom; symmetry = Pm-3n (223); offset from the most stable computed form = 135.7 meV per atom
1.0
8.094 0.000 0.000
0.000 8.094 0.000
0.000 0.000 8.094
Ba Mg Bi
2 6 6
Cartesian
0.000 0.000 0.000
4.047 4.047 4.047
0.000 2.024 4.047
0.000 6.071 4.047
2.024 4.047 0.000
4.047 0.000 2.024
4.047 0.000 6.071
6.071 4.047 0.000
0.000 4.047 2.024
0.000 4.047 6.071
2.024 0.000 4.047
4.047 2.024 0.000
4.047 6.071 0.000
6.071 0.000 4.047

***

Mo2P2C | Alexandria via LeMat-Bulk | PBE | optimized geometry; ΔE_f = 0.33 eV per atom; symmetry = P4/mbm (127); offset from the most stable computed form = 0.0 meV per atom
1.0
5.945 0.000 0.000
0.000 5.945 0.000
0.000 0.000 3.735
Mo P C
4 4 2
Cartesian
0.997 1.975 0.000
1.975 4.948 0.000
3.969 0.997 0.000
4.948 3.969 0.000
0.815 3.788 1.867
2.157 0.815 1.867
3.788 5.129 1.867
5.129 2.157 1.867
0.000 0.000 0.000
2.972 2.972 0.000

***

CeNdGa5Pt2 | Alexandria via LeMat-Bulk | PBE | optimized geometry; ΔE_f = -0.40 eV per atom; symmetry = P4/mmm (123)
1.0
4.798 0.000 0.000
0.000 4.798 0.000
0.000 0.000 9.075
Ce Nd Ga Pt
1 1 5 2
Cartesian
0.000 0.000 0.000
0.000 0.000 4.538
0.000 2.399 2.001
0.000 2.399 7.074
2.399 0.000 2.001
2.399 0.000 7.074
2.399 2.399 4.538
2.399 2.399 2.160
2.399 2.399 6.915

***

ZrZn2Ag | Alexandria via LeMat-Bulk | PBE | optimized geometry; ΔE_f = 0.17 eV per atom; symmetry = I-42d (122)
1.0
-3.658 3.658 2.878
3.658 -3.658 2.878
3.658 3.658 -2.878
Zr Zn Ag
2 4 2
Cartesian
0.000 0.000 0.000
0.000 3.658 1.439
1.829 1.982 -0.719
5.333 1.829 0.719
1.829 1.675 2.158
-1.675 1.829 3.597
3.658 0.000 1.439
0.000 0.000 2.878

***

Li2AgMo | Alexandria via LeMat-Bulk | PBE | optimized geometry; ΔE_f = 0.36 eV per atom; symmetry = C2/m (12); offset from the most stable computed form = 180.8 meV per atom
1.0
4.730 -1.324 0.000
4.730 1.324 0.000
-0.613 0.000 5.131
Li Ag Mo
2 1 1
Cartesian
2.174 0.000 1.290
6.673 0.000 3.841
4.730 0.000 0.000
-0.307 0.000 2.566

***

Ac6SnSe5 | Alexandria via LeMat-Bulk | PBE | optimized geometry; formation energy (no corrections) = -1.69 eV/atom; symmetry = C2/m (12)
1.0
3.926 -6.803 0.000
3.926 6.803 0.000
-2.614 0.000 7.433
Ac Sn Se
6 1 5
Cartesian
-0.016 2.299 5.543
1.269 0.000 1.875
-0.016 -2.299 5.543
5.254 2.299 1.890
3.969 0.000 5.558
5.254 -2.299 1.890
3.926 0.000 0.000
-1.307 0.000 3.717
3.926 4.524 0.000
2.619 2.223 3.717
2.619 -2.223 3.717
3.926 -4.524 0.000

***

CoReW2 | Alexandria via LeMat-Bulk | PBE | optimized geometry; ΔE_f = 0.17 eV per atom; symmetry = Cmmm (65); offset from the most stable computed form = 46.3 meV per atom
1.0
2.766 -3.833 0.000
2.766 3.833 0.000
0.000 0.000 2.762
Co Re W
1 1 2
Cartesian
0.000 0.000 0.000
2.766 0.000 0.000
1.383 1.917 1.381
1.383 -1.917 1.381

***

ZrCdN2O | Alexandria via LeMat-Bulk | PBE | optimized geometry; formation energy (no corrections) = 0.91 eV/atom; symmetry = P4/mmm (123)
1.0
4.371 0.000 0.000
0.000 4.371 0.000
0.000 0.000 3.849
Zr Cd N O
1 1 2 1
Cartesian
0.000 0.000 0.000
2.185 2.185 0.000
0.000 2.185 1.924
2.185 0.000 1.924
0.000 0.000 1.924

***

Sm2ScCu6 | Alexandria via LeMat-Bulk | PBE | optimized geometry; ΔE_f = -0.19 eV per atom; symmetry = P6/mmm (191)
1.0
7.334 0.000 0.000
-3.667 6.351 0.000
0.000 0.000 3.534
Sm Sc Cu
2 1 6
Cartesian
0.000 4.234 0.000
3.667 2.117 0.000
0.000 0.000 0.000
-1.205 2.088 1.767
-2.462 4.264 1.767
2.410 0.000 1.767
1.205 2.088 1.767
4.923 0.000 1.767
2.462 4.264 1.767

***

DyAg5Cl12 | Alexandria via LeMat-Bulk | PBE | optimized geometry; formation energy (no corrections) = -0.73 eV/atom; symmetry = C2/m (12)
1.0
3.278 -6.084 0.000
3.278 6.084 0.000
-2.520 0.000 12.463
Dy Ag Cl
1 5 12
Cartesian
0.000 0.000 0.000
2.018 4.055 6.232
3.278 1.928 0.000
2.018 0.000 6.232
3.278 -1.928 0.000
2.018 -4.055 6.232
1.181 1.934 1.426
0.020 0.000 4.831
0.739 2.030 7.630
-0.435 0.000 10.859
1.181 -1.934 1.426
3.296 2.030 4.834
0.739 -2.030 7.630
2.855 1.934 11.037
4.471 0.000 1.604
3.296 -2.030 4.834
4.016 0.000 7.633
2.855 -1.934 11.037

***

Th2TaCuN5 | Alexandria via LeMat-Bulk | PBE | optimized geometry; formation energy (no corrections) = -0.97 eV/atom; symmetry = Cmc2_1 (36)
1.0
1.651 -6.972 0.000
1.651 6.972 0.000
0.000 0.000 10.223
Th Ta Cu N
4 2 2 10
Cartesian
1.651 5.416 5.111
1.651 5.157 1.250
1.651 -5.157 6.361
1.651 -5.416 0.000
1.651 4.174 8.420
1.651 -4.174 3.308
1.651 0.500 2.826
1.651 -0.500 7.938
1.651 6.227 8.980
1.651 2.946 4.759
1.651 2.692 1.896
1.651 2.119 8.387
1.651 0.050 6.064
1.651 -0.050 0.953
1.651 -2.119 3.275
1.651 -2.692 7.008
1.651 -2.946 9.870
1.651 -6.227 3.869

***

TiIrOs2 | Alexandria via LeMat-Bulk | PBE | optimized geometry; ΔE_f = 0.36 eV per atom; symmetry = I-42d (122); offset from the most stable computed form = 685.6 meV per atom
1.0
-1.887 1.887 9.052
1.887 -1.887 9.052
1.887 1.887 -9.052
Ti Ir Os
2 2 4
Cartesian
0.000 0.000 0.000
0.000 1.887 4.526
1.887 0.000 4.526
0.000 0.000 9.052
2.830 0.854 -2.263
0.854 0.943 2.263
-0.943 1.033 6.789
1.033 0.943 11.315

***

CeY2ZrAs4 | Alexandria via LeMat-Bulk | PBE | optimized geometry; ΔE_f = -1.40 eV per atom; symmetry = P2/m (10)
1.0
7.057 0.000 0.000
0.000 4.077 0.000
-2.331 0.000 6.662
Ce Y Zr As
1 2 1 4
Cartesian
0.000 0.000 0.000
2.363 0.000 3.331
3.528 2.039 0.000
-1.166 2.039 3.331
-0.023 0.000 4.920
1.143 2.039 1.723
3.583 2.039 4.939
4.749 0.000 1.742

***

LiPr2Sb | Alexandria via LeMat-Bulk | PBE | optimized geometry; formation energy (no corrections) = -0.52 eV/atom; symmetry = Fm-3m (225); offset from the most stable computed form = 53.9 meV per atom
1.0
0.000 3.824 3.824
3.824 0.000 3.824
3.824 3.824 0.000
Li Pr Sb
1 2 1
Cartesian
0.000 0.000 0.000
1.912 1.912 1.912
5.737 5.737 5.737
3.824 3.824 3.824

***

Cs2Cu2AgCl7 | Alexandria via LeMat-Bulk | PBE | optimized geometry; formation energy (no corrections) = -0.91 eV/atom; symmetry = C2/m (12)
1.0
3.524 -3.524 0.000
3.524 3.524 0.000
-3.511 0.000 12.831
Cs Cu Ag Cl
2 2 1 7
Cartesian
0.022 0.000 4.538
3.515 0.000 8.293
-0.010 0.000 10.534
3.547 0.000 2.297
0.000 0.000 0.000
1.786 1.769 2.071
-0.007 0.000 8.171
1.751 1.769 10.760
3.524 0.000 0.000
1.786 -1.769 2.071
3.544 0.000 4.660
1.751 -1.769 10.760

***

Cs2SrSb2 | Alexandria via LeMat-Bulk | PBE | optimized geometry; formation energy (no corrections) = -0.33 eV/atom; symmetry = I4/mmm (139); offset from the most stable computed form = 164.5 meV per atom
1.0
-2.516 2.516 8.426
2.516 -2.516 8.426
2.516 2.516 -8.426
Cs Sr Sb
2 1 2
Cartesian
2.516 0.000 4.213
0.000 2.516 4.213
0.000 0.000 0.000
0.000 0.000 7.005
0.000 0.000 9.846

***

TlTeRu2 | Alexandria via LeMat-Bulk | PBE | optimized geometry; formation energy (no corrections) = 0.42 eV/atom; symmetry = Cm (8); offset from the most stable computed form = 48.1 meV per atom
1.0
4.353 -1.556 0.000
4.353 1.556 0.000
-1.179 0.000 6.703
Tl Te Ru
1 1 2
Cartesian
0.000 0.000 0.000
6.189 0.000 2.908
1.239 0.000 5.057
3.655 0.000 4.190

***

Ti2InTe | Alexandria via LeMat-Bulk | PBE | optimized geometry; formation energy (no corrections) = -0.12 eV/atom; symmetry = R3m (160); offset from the most stable computed form = 0.0 meV per atom
1.0
1.720 0.993 8.286
-1.720 0.993 8.286
0.000 -1.986 8.286
Ti In Te
2 1 1
Cartesian
0.000 0.000 0.000
0.000 0.000 4.383
0.000 0.000 10.472
0.000 0.000 14.626

***

KBeBiTe3 | Alexandria via LeMat-Bulk | PBE | optimized geometry; formation energy (no corrections) = -0.49 eV/atom; symmetry = P2_1/m (11)
1.0
10.069 0.000 0.000
0.000 4.317 0.000
-2.992 0.000 9.832
K Be Bi Te
2 2 2 6
Cartesian
1.744 1.079 1.851
5.332 3.238 7.981
1.299 3.238 9.094
5.777 1.079 0.738
-0.597 1.079 6.522
7.673 3.238 3.310
-1.128 3.238 8.712
0.402 3.238 4.426
2.352 1.079 8.109
4.725 3.238 1.723
6.674 1.079 5.406
8.204 1.079 1.120

***

Ca2TaRe | Alexandria via LeMat-Bulk | PBE | optimized geometry; ΔE_f = 0.70 eV per atom; symmetry = Pmmm (47); offset from the most stable computed form = 460.0 meV per atom
1.0
3.936 0.000 0.000
0.000 4.072 0.000
0.000 0.000 5.231
Ca Ta Re
2 1 1
Cartesian
0.000 0.000 0.000
1.968 2.036 0.000
0.000 2.036 2.616
1.968 0.000 2.616

***

Sc10Ge3Sb3 | Alexandria via LeMat-Bulk | PBE | optimized geometry; formation energy (no corrections) = -0.84 eV/atom; symmetry = P-62m (189)
1.0
8.215 0.000 0.000
-4.107 7.114 0.000
0.000 0.000 5.918
Sc Ge Sb
10 3 3
Cartesian
-0.986 1.709 0.000
-3.112 5.390 2.959
1.973 0.000 0.000
0.996 1.725 2.959
0.000 4.743 1.534
0.000 4.743 4.384
4.107 2.371 1.534
4.107 2.371 4.384
6.224 0.000 2.959
3.121 5.406 0.000
-1.594 2.761 2.959
3.188 0.000 2.959
2.513 4.353 2.959
-2.485 4.305 0.000
1.622 2.810 0.000
4.971 0.000 0.000

***

no.,raw total energy (eV/cell)
1,-24.31
2,-27.78
3,-9.82
4,-40.28
5,-80.16
6,-41.52
7,-26.57
8,-16.09
9,-66.38
10,-44.78
11,-26.54
12,-42.06
13,-54.23
14,-162.36
15,-75.56
16,-57.21
17,-17.67
18,-36.64
19,-13.28
20,-22.37
21,-22.17
22,-42.16
23,-25.51
24,-102.95